5
Lattice="5.300 0.000 0.000 0.000 5.300 0.000 0.000 0.000 5.300" Properties=species:S:1:pos:R:3 comment="RbHf3Nb | the Alexandria database | GGA-PBE | relaxed" m_tot_mub_per_fu=0.00 formation_enthalpy_0k_ev_per_atom=1.138 e_above_lowest_polymorph_mev_per_atom=0 rho_g_cm3=7.964 pbc="T T T"
Hf 0.000 0.000 2.650
Nb 0.000 0.000 0.000
Hf 0.000 2.650 0.000
Hf 2.650 0.000 0.000
Rb 2.650 2.650 2.650

5
Lattice="6.878 0.000 0.000 0.000 6.878 0.000 0.000 0.000 6.878" Properties=species:S:1:pos:R:3 comment="Rb3HfNb | the Alexandria database | GGA-PBE | relaxed" m_tot_mub_per_fu=8.01 formation_enthalpy_0k_ev_per_atom=2.082 e_above_lowest_polymorph_mev_per_atom=0 rho_g_cm3=2.694 pbc="T T T"
Nb 0.000 0.000 0.000
Rb 3.439 0.000 0.000
Hf 3.439 3.439 3.439
Rb 0.000 3.439 0.000
Rb 0.000 0.000 3.439

8
Lattice="-3.291 3.331 6.192 -7.029 -1.738 -2.800 -5.016 -4.487 4.615" Properties=species:S:1:pos:R:3 comment="RbHf2Nb | the Alexandria database | GGA-PBE | relaxed" m_tot_mub_per_fu=0.00 formation_enthalpy_0k_ev_per_atom=1.550 e_above_lowest_polymorph_mev_per_atom=305 rho_g_cm3=4.885 pbc="T T T"
Nb 0.000 0.000 0.000
Rb -5.160 0.797 1.696
Hf -8.526 0.707 4.822
Hf -5.875 -2.334 5.433
Nb -6.733 -0.180 6.251
Rb -8.603 -2.714 1.755
Hf -7.520 -0.668 8.529
Hf -5.012 1.576 6.222

5
Lattice="4.934 0.000 0.000 0.000 4.934 0.000 0.000 0.000 4.934" Properties=species:S:1:pos:R:3 comment="RbHf3Nb | the Alexandria database | GGA-PBE | relaxed" m_tot_mub_per_fu=0.00 formation_enthalpy_0k_ev_per_atom=2.391 e_above_lowest_polymorph_mev_per_atom=1253 rho_g_cm3=9.868 pbc="T T T"
Hf 0.000 2.467 0.000
Rb 0.000 0.000 0.000
Hf 2.467 0.000 0.000
Nb 2.467 2.467 2.467
Hf 0.000 0.000 2.467

4
Lattice="0.000 4.156 4.156 4.156 0.000 4.156 4.156 4.156 0.000" Properties=species:S:1:pos:R:3 comment="Rb2HfNb | the Alexandria database | GGA-PBE | relaxed" m_tot_mub_per_fu=2.08 formation_enthalpy_0k_ev_per_atom=2.130 e_above_lowest_polymorph_mev_per_atom=549 rho_g_cm3=5.116 pbc="T T T"
Rb 6.234 6.234 6.234
Nb 0.000 0.000 0.000
Rb 2.078 2.078 2.078
Hf 4.156 4.156 4.156

8
Lattice="-1.233 5.311 12.279 -4.575 -11.755 4.625 -0.578 -3.917 8.986" Properties=species:S:1:pos:R:3 comment="Rb2HfNb | the Alexandria database | GGA-PBE | relaxed" m_tot_mub_per_fu=2.17 formation_enthalpy_0k_ev_per_atom=1.581 e_above_lowest_polymorph_mev_per_atom=0 rho_g_cm3=3.275 pbc="T T T"
Rb -3.308 -7.144 13.783
Nb -2.904 -3.222 8.452
Hf -2.358 -0.914 14.858
Hf 0.000 0.000 0.000
Rb -1.299 0.062 8.629
Rb -3.346 -6.853 8.542
Rb -4.819 -6.786 20.826
Nb -4.028 -9.447 11.031

4
Lattice="3.266 0.000 0.000 0.000 3.266 0.000 0.000 0.000 7.099" Properties=species:S:1:pos:R:3 comment="Hf2NbRe | the Alexandria database | GGA-PBE | relaxed" m_tot_mub_per_fu=0.00 formation_enthalpy_0k_ev_per_atom=-0.133 rho_g_cm3=13.946 pbc="T T T"
Hf 0.000 0.000 1.599
Nb 1.633 1.633 3.549
Re 1.633 1.633 0.000
Hf 0.000 0.000 5.500

5
Lattice="-1.023 -4.427 -1.799 4.566 -1.448 0.968 -1.410 -1.478 4.439" Properties=species:S:1:pos:R:3 comment="Hf3NbRe | the Alexandria database | GGA-PBE | relaxed" m_tot_mub_per_fu=0.01 formation_enthalpy_0k_ev_per_atom=1.572 e_above_lowest_polymorph_mev_per_atom=698 rho_g_cm3=11.589 pbc="T T T"
Hf -0.511 -2.214 -0.900
Re 1.066 -3.677 1.804
Hf 2.283 -0.724 0.484
Nb 0.000 0.000 0.000
Hf -0.705 -0.739 2.220

3
Lattice="4.461 -0.026 -0.038 -2.203 3.880 0.038 -2.204 -1.297 3.660" Properties=species:S:1:pos:R:3 comment="HfNbRe | the Alexandria database | GGA-PBE | relaxed" m_tot_mub_per_fu=0.00 formation_enthalpy_0k_ev_per_atom=0.180 rho_g_cm3=12.075 pbc="T T T"
Nb 2.255 1.267 1.507
Hf 0.052 2.559 3.356
Re 0.024 -0.014 2.431

7
Lattice="-1.437 1.691 -3.430 -4.135 -1.338 3.505 3.178 6.106 1.679" Properties=species:S:1:pos:R:3 comment="Hf2Nb3Re2 | the Alexandria database | GGA-PBE | relaxed" m_tot_mub_per_fu=0.00 formation_enthalpy_0k_ev_per_atom=0.074 rho_g_cm3=12.256 pbc="T T T"
Hf 1.055 4.681 1.866
Nb -0.498 3.435 -0.531
Re -0.751 1.129 0.871
Re -1.642 5.331 0.883
Nb -0.718 0.846 -1.715
Nb -1.896 3.024 2.285
Hf -3.448 1.779 -0.112

5
Lattice="4.968 0.000 0.000 0.000 4.968 0.000 0.000 0.000 4.968" Properties=species:S:1:pos:R:3 comment="Hf3NbRe | the Alexandria database | GGA-PBE | relaxed" m_tot_mub_per_fu=0.00 formation_enthalpy_0k_ev_per_atom=0.874 e_above_lowest_polymorph_mev_per_atom=0 rho_g_cm3=11.034 pbc="T T T"
Re 0.000 0.000 0.000
Hf 0.000 2.484 0.000
Hf 0.000 0.000 2.484
Nb 2.484 2.484 2.484
Hf 2.484 0.000 0.000

8
Lattice="7.542 0.000 0.000 0.000 7.542 0.000 3.771 3.771 2.846" Properties=species:S:1:pos:R:3 comment="Hf2NbRe | the Alexandria database | GGA-PBE | relaxed" m_tot_mub_per_fu=0.00 formation_enthalpy_0k_ev_per_atom=0.521 rho_g_cm3=13.047 pbc="T T T"
Hf 5.657 5.458 2.135
Hf 9.428 9.626 2.135
Re 0.000 0.000 0.000
Hf 1.687 5.657 0.712
Re 7.542 3.771 1.423
Hf 5.855 1.886 0.712
Nb 3.771 3.771 0.000
Nb 3.771 7.542 1.423